# 1
VASP calculation (GGA-PBE) on a relaxed LuFeReBi crystal.

Space-group type = No. 216
Excess energy over the best structure of this formula in the dataset = 0.0 meV per atom

a = 4.679 Å, b = 4.679 Å, c = 4.679 Å
α = 60.00°, β = 60.00°, γ = 60.00°
Positions (direct):
Bi (0.000, 0.000, 0.000)
Fe (0.750, 0.750, 0.750)
Lu (0.500, 0.500, 0.500)
Re (0.250, 0.250, 0.250)

# 2
VASP calculation (GGA-PBE) on a relaxed LuScFeBi crystal.

Space-group type = No. 216
Excess energy over the best structure of this formula in the dataset = 0.0 meV per atom

a = 4.854 Å, b = 4.854 Å, c = 4.854 Å
α = 60.00°, β = 60.00°, γ = 60.00°
Positions (direct):
Bi (0.000, 0.000, 0.000)
Fe (0.750, 0.750, 0.750)
Lu (0.500, 0.500, 0.500)
Sc (0.250, 0.250, 0.250)

# 3
VASP calculation (GGA-PBE) on a relaxed LuTaFeBi crystal.

Space-group type = No. 216
Energy = -6.587 eV/atom

a = 4.809 Å, b = 4.809 Å, c = 4.809 Å
α = 60.00°, β = 60.00°, γ = 60.00°
Positions (direct):
Bi (0.000, 0.000, 0.000)
Fe (0.750, 0.750, 0.750)
Lu (0.500, 0.500, 0.500)
Ta (0.250, 0.250, 0.250)